{
  "formula": "TmAgAu4",
  "functional": "PBE-GGA",
  "state": "optimized geometry",
  "lattice_angstrom": [[-5.077, -0.131, -0.695], [0.337, -4.971, -1.154], [-3.101, -1.102, 3.957]],
  "species": ["Tm", "Au", "Au", "Au", "Au", "Ag"],
  "frac_coords": [[0.000, 0.500, 0.500], [0.168, 0.000, 0.164], [0.666, 0.500, 0.168], [0.832, 0.000, 0.836], [0.334, 0.500, 0.832], [0.500, 0.000, 0.500]],
  "polymorph_energy_mev_per_atom": 0,
  "delta_e_f_ev_per_atom": -0.43
}



{
  "formula": "Tm6Ag2Au",
  "functional": "PBE-GGA",
  "state": "optimized geometry",
  "lattice_angstrom": [[-3.123, 3.513, -1.482], [-2.819, -4.451, -4.611], [-1.915, -1.718, 8.145]],
  "species": ["Tm", "Tm", "Ag", "Tm", "Au", "Tm", "Ag", "Tm", "Tm"],
  "frac_coords": [[0.835, 0.587, 0.670], [0.165, 0.413, 0.330], [0.666, 0.667, 0.333], [0.500, 0.246, 0.000], [0.000, 0.000, 0.000], [0.165, 0.917, 0.330], [0.334, 0.333, 0.667], [0.835, 0.083, 0.670], [0.500, 0.754, 0.000]],
  "delta_e_f_ev_per_atom": -0.14
}



{
  "formula": "TmAgAu2",
  "functional": "PBE-GGA",
  "state": "optimized geometry",
  "lattice_angstrom": [[3.958, 0.000, 0.000], [0.000, 4.525, 0.000], [0.000, 0.000, 4.525]],
  "species": ["Au", "Au", "Tm", "Ag"],
  "frac_coords": [[0.000, 0.000, 0.500], [0.000, 0.500, 0.000], [0.500, 0.500, 0.500], [0.500, 0.000, 0.000]],
  "delta_e_f_ev_per_atom": -0.48
}



{
  "formula": "Tm2AgAu2",
  "functional": "PBE-GGA",
  "state": "optimized geometry",
  "lattice_angstrom": [[5.793, 0.000, 0.000], [0.000, 7.481, -2.125], [-2.896, -4.566, 6.391]],
  "species": ["Au", "Tm", "Au", "Au", "Tm", "Ag", "Au", "Tm", "Ag", "Tm"],
  "frac_coords": [[0.994, 0.228, 0.740], [0.208, 0.837, 0.691], [0.006, 0.772, 0.260], [0.254, 0.272, 0.260], [0.483, 0.337, 0.691], [0.242, 0.750, 0.000], [0.746, 0.728, 0.740], [0.792, 0.163, 0.309], [0.758, 0.250, 0.000], [0.517, 0.663, 0.309]],
  "polymorph_energy_mev_per_atom": 98,
  "delta_e_f_ev_per_atom": -0.61
}



{
  "formula": "Tm8AgAu2",
  "functional": "PBE-GGA",
  "state": "optimized geometry",
  "lattice_angstrom": [[-0.958, -0.236, 4.946], [6.527, -1.714, 1.182], [0.130, 8.873, -2.122]],
  "species": ["Tm", "Tm", "Au", "Tm", "Tm", "Tm", "Tm", "Au", "Ag", "Tm", "Tm"],
  "frac_coords": [[0.668, 0.971, 0.336], [0.030, 0.774, 0.061], [0.814, 0.279, 0.628], [0.200, 0.319, 0.400], [0.592, 0.459, 0.185], [0.408, 0.541, 0.815], [0.332, 0.029, 0.664], [0.186, 0.721, 0.372], [0.500, 0.000, 0.000], [0.800, 0.681, 0.600], [0.970, 0.226, 0.939]],
  "delta_e_f_ev_per_atom": -0.38
}



{
  "formula": "Tm3AgAu",
  "functional": "PBE-GGA",
  "state": "optimized geometry",
  "lattice_angstrom": [[4.882, 0.000, 1.116], [0.000, 5.006, 0.000], [0.278, 0.000, 10.022]],
  "species": ["Ag", "Au", "Tm", "Tm", "Au", "Tm", "Tm", "Tm", "Ag", "Tm"],
  "frac_coords": [[0.481, 0.750, 0.686], [0.664, 0.750, 0.320], [0.574, 0.250, 0.500], [0.889, 0.750, 0.870], [0.984, 0.250, 0.680], [0.260, 0.750, 0.128], [0.759, 0.250, 0.130], [0.074, 0.750, 0.500], [0.167, 0.250, 0.314], [0.388, 0.250, 0.872]],
  "polymorph_energy_mev_per_atom": 0,
  "delta_e_f_ev_per_atom": -0.48
}



{
  "formula": "TmAg3Au12",
  "functional": "PBE-GGA",
  "state": "optimized geometry",
  "lattice_angstrom": [[-2.561, -2.894, 1.765], [2.201, 0.263, 3.624], [-9.911, 11.913, 5.153]],
  "species": ["Au", "Tm", "Au", "Au", "Ag", "Au", "Au", "Au", "Au", "Au", "Au", "Au", "Ag", "Au", "Ag", "Au"],
  "frac_coords": [[0.000, 0.500, 0.129], [0.000, 0.000, 0.000], [0.500, 0.000, 0.378], [0.000, 0.500, 0.622], [0.000, 0.000, 0.744], [0.500, 0.500, 0.255], [0.500, 0.500, 0.500], [0.000, 0.500, 0.871], [0.500, 0.500, 0.745], [0.500, 0.000, 0.622], [0.500, 0.000, 0.871], [0.500, 0.500, 0.000], [0.000, 0.000, 0.256], [0.500, 0.000, 0.129], [0.000, 0.000, 0.500], [0.000, 0.500, 0.378]],
  "delta_e_f_ev_per_atom": -0.18
}



{
  "formula": "Tm4Ag3Au",
  "functional": "PBE-GGA",
  "state": "optimized geometry",
  "lattice_angstrom": [[3.566, 0.000, 0.000], [0.000, 3.566, 0.000], [0.000, 0.000, 14.411]],
  "species": ["Tm", "Tm", "Ag", "Au", "Tm", "Ag", "Ag", "Tm"],
  "frac_coords": [[0.000, 0.000, 0.122], [0.000, 0.000, 0.626], [0.500, 0.500, 0.750], [0.500, 0.500, 0.000], [0.000, 0.000, 0.374], [0.500, 0.500, 0.500], [0.500, 0.500, 0.250], [0.000, 0.000, 0.878]],
  "delta_e_f_ev_per_atom": -0.48
}